The following is a DFT calculation (PBE) of CoNiAg after structural relaxation.

Energy relative to the elements ... 108 kJ/mol of formula units
Raw total energy ... -14.62 eV for the cell shown
Symmetry ... P3m1 (156)
Energy above the most stable polymorph in this dataset ... 130.6 meV/atom
Calculated volume ... 40 Å³/cell

Cell lengths 4.187, 4.187, 2.659 Å; angles 90.00, 90.00, 120.00 degrees
Last column: magnetic moment on the atom in μB.
Fractional positions:
Ag 0.000 0.000 0.999  0.00
Co 0.333 0.667 0.488  1.82
Ni 0.667 0.333 0.514  0.67